Compound: BaNaP
Source: Alexandria
Functional: PBEsol
Structure: relaxed

Values from the calculation:
Formation energy in eV per atom: -0.774
Theoretical density in g/cm3: 3.807

Cell lengths 4.6371, 7.8948, 7.8948 Å; angles 120.00, 90.00, 90.00 degrees
Positions (direct):
Na: 0.0000 0.7575 0.7575
Na: 0.0000 0.2425 0.0000
Na: 0.0000 0.0000 0.2425
Ba: 0.5000 0.4120 0.4120
Ba: 0.5000 0.5880 0.0000
Ba: 0.5000 0.0000 0.5880
P: 0.0000 0.3333 0.6667
P: 0.0000 0.6667 0.3333
P: 0.5000 0.0000 0.0000


Compound: Ba3NaP
Source: Alexandria
Functional: PBEsol
Structure: relaxed

Values from the calculation:
Formation energy in eV per atom: -0.440
Theoretical density in g/cm3: 3.094

Cell lengths 6.3001, 6.3001, 6.3001 Å; angles 90.00, 90.00, 90.00 degrees
Positions (direct):
Na: 0.5000 0.5000 0.5000
Ba: 0.5000 0.0000 0.0000
Ba: 0.0000 0.0000 0.5000
Ba: 0.0000 0.5000 0.0000
P: 0.0000 0.0000 0.0000


Compound: Ba2NaP2
Source: Alexandria
Functional: PBEsol
Structure: relaxed

Values from the calculation:
Formation energy in eV per atom: -0.419
Theoretical density in g/cm3: 3.628

Cell lengths 6.0768, 6.1909, 6.0768 Å; angles 60.61, 90.00, 119.39 degrees
Positions (direct):
Na: 0.0000 0.0000 0.0000
P: 0.3720 0.7439 0.6280
P: 0.6280 0.2561 0.3720
Ba: 0.7500 0.5000 0.7500
Ba: 0.2500 0.5000 0.2500


Compound: Ba3NaPb
Source: Alexandria
Functional: PBEsol
Structure: relaxed

Values from the calculation:
Formation energy in eV per atom: 0.308
Theoretical density in g/cm3: 4.341

Cell lengths 6.2628, 6.2628, 6.2628 Å; angles 90.00, 90.00, 90.00 degrees
Positions (direct):
Na: 0.0000 0.0000 0.0000
Ba: 0.0000 0.0000 0.5000
Ba: 0.0000 0.5000 0.0000
Ba: 0.5000 0.0000 0.0000
Pb: 0.5000 0.5000 0.5000


Compound: Ba2NaPd2
Source: Alexandria
Functional: PBEsol
Structure: relaxed

Values from the calculation:
Formation energy in eV per atom: -0.300
Theoretical density in g/cm3: 5.637

Cell lengths 4.3386, 8.3257, 8.3257 Å; angles 90.00, 90.00, 90.00 degrees
Positions (direct):
Ba: 0.5000 0.6701 0.8299
Ba: 0.5000 0.8299 0.3299
Ba: 0.5000 0.3299 0.1701
Ba: 0.5000 0.1701 0.6701
Pd: 0.0000 0.6176 0.1176
Pd: 0.0000 0.3824 0.8824
Pd: 0.0000 0.1176 0.3824
Pd: 0.0000 0.8824 0.6176
Na: 0.0000 0.0000 0.0000
Na: 0.0000 0.5000 0.5000


Compound: Ba3NaPd
Source: Alexandria
Functional: PBEsol
Structure: relaxed

Values from the calculation:
Formation energy in eV per atom: -0.209
Theoretical density in g/cm3: 3.724

Cell lengths 6.2266, 6.2266, 6.2266 Å; angles 90.00, 90.00, 90.00 degrees
Positions (direct):
Pd: 0.0000 0.0000 0.0000
Na: 0.5000 0.5000 0.5000
Ba: 0.5000 0.0000 0.0000
Ba: 0.0000 0.0000 0.5000
Ba: 0.0000 0.5000 0.0000